Record 1
# LaDy3Mg

A geometry-optimized LaDy3Mg structure (GGA-PBE, Alexandria).

The space group is Pmmn (No. 59, origin choice 2) and the conventional cell measures 3.769, 10.519 and 8.300 Å, with angles of 90.00, 90.00 and 90.00 degrees. The asymmetric unit holds La at (0.250, 0.250, 0.057), Dy at (0.250, 0.000, 0.710), Dy at (0.250, 0.250, 0.437) and Mg at (0.250, 0.750, 0.265).

Its total magnetization is 0.00 μB per cell. As for the excess energy over the best structure of this formula in the dataset: 137.6 meV/atom. Its crystal system is orthorhombic. For the raw total energy, the calculation gives -3.940 eV/atom.

***

Record 2
# LaDy3Mg2

A geometry-optimized LaDy3Mg2 structure (GGA-PBE, Alexandria).

The space group is P4/mmm (No. 123) and the conventional cell measures 3.720, 3.720 and 12.868 Å, with angles of 90.00, 90.00 and 90.00 degrees. The asymmetric unit holds La at (0.000, 0.000, 0.000), Dy at (0.500, 0.500, 0.197), Dy at (0.500, 0.500, 0.500) and Mg at (0.000, 0.000, 0.350).

Its total magnetization is 0.00 μB per cell. Its crystal system is tetragonal. For the raw total energy, the calculation gives -3.693 eV/atom.

***

The formation energy from the elements results, record by record, are as follows: 2.892 -0.895 kcal/mol of atoms.